# 1
Entry from Alexandria: a relaxed structure of AcNdZn3 (GGA-PBE).

Geometry as CIF:
```
data_AcNdZn3
_chemical_formula_sum 'Ac2 Nd2 Zn6'
_symmetry_space_group_name_H-M 'P 1'
_symmetry_Int_Tables_number 1
_cell_length_a 3.839
_cell_length_b 4.702
_cell_length_c 14.186
_cell_angle_alpha 90.00
_cell_angle_beta 97.78
_cell_angle_gamma 90.00
loop_
_symmetry_equiv_pos_as_xyz
'x,y,z'
loop_
_atom_site_label
_atom_site_type_symbol
_atom_site_fract_x
_atom_site_fract_y
_atom_site_fract_z
Ac1 Ac 0.926 0.750 0.852
Ac2 Ac 0.074 0.250 0.148
Nd1 Nd 0.209 0.750 0.418
Nd2 Nd 0.791 0.250 0.582
Zn1 Zn 0.622 0.750 0.243
Zn2 Zn 0.378 0.250 0.757
Zn3 Zn 0.524 0.750 0.047
Zn4 Zn 0.476 0.250 0.953
Zn5 Zn 0.675 0.250 0.350
Zn6 Zn 0.325 0.750 0.650
```

SG: Cmcm
Formation energy from the elements in meV/atom: -278
Size of the total moment in μB per formula unit: 0.00



# 2
Entry from Alexandria: a relaxed structure of AcNd2Zn2 (GGA-PBE).

Geometry as CIF:
```
data_AcNd2Zn2
_chemical_formula_sum 'Ac1 Nd2 Zn2'
_symmetry_space_group_name_H-M 'P 1'
_symmetry_Int_Tables_number 1
_cell_length_a 3.749
_cell_length_b 3.847
_cell_length_c 10.488
_cell_angle_alpha 79.43
_cell_angle_beta 90.00
_cell_angle_gamma 90.00
loop_
_symmetry_equiv_pos_as_xyz
'x,y,z'
loop_
_atom_site_label
_atom_site_type_symbol
_atom_site_fract_x
_atom_site_fract_y
_atom_site_fract_z
Ac1 Ac 0.000 0.000 0.000
Nd1 Nd 0.000 0.178 0.644
Nd2 Nd 0.000 0.822 0.356
Zn1 Zn 0.500 0.400 0.199
Zn2 Zn 0.500 0.600 0.801
```

SG: Cmmm
ΔE to the lowest computed polymorph in meV per atom: 24
Formation energy from the elements in meV/atom: -139
Size of the total moment in μB per formula unit: 0.00



# 3
Entry from Alexandria: a relaxed structure of AcNd2Zn2 (GGA-PBE).

Geometry as CIF:
```
data_AcNd2Zn2
_chemical_formula_sum 'Ac2 Nd4 Zn4'
_symmetry_space_group_name_H-M 'P 1'
_symmetry_Int_Tables_number 1
_cell_length_a 4.578
_cell_length_b 4.743
_cell_length_c 13.800
_cell_angle_alpha 100.10
_cell_angle_beta 90.00
_cell_angle_gamma 90.00
loop_
_symmetry_equiv_pos_as_xyz
'x,y,z'
loop_
_atom_site_label
_atom_site_type_symbol
_atom_site_fract_x
_atom_site_fract_y
_atom_site_fract_z
Ac1 Ac 0.250 0.634 0.269
Ac2 Ac 0.750 0.366 0.731
Nd1 Nd 0.250 0.946 0.894
Nd2 Nd 0.750 0.054 0.106
Nd3 Nd 0.250 0.264 0.526
Nd4 Nd 0.750 0.736 0.474
Zn1 Zn 0.250 0.832 0.661
Zn2 Zn 0.750 0.168 0.339
Zn3 Zn 0.250 0.520 0.041
Zn4 Zn 0.750 0.480 0.959
```

SG: P2_1/m
ΔE to the lowest computed polymorph in meV per atom: 0
Formation energy from the elements in meV/atom: -163
Size of the total moment in μB per formula unit: 0.00